The following is a DFT calculation (PBE-GGA) of a geometry-optimized AcY2Ir structure.

a = 4.051 Å, b = 4.051 Å, c = 9.720 Å
α = 77.97°, β = 77.97°, γ = 60.00°
Atoms (fractional coordinates):
Y (0.719, 0.719, 0.843)
Y (0.281, 0.281, 0.157)
Ir (0.000, 0.000, 0.000)
Ac (0.500, 0.500, 0.500)

Output
- ΔE to the lowest computed polymorph: 109 meV per atom
- Energy of formation from the pure elements: -1.4 eV/f.u.
- Crystal system: trigonal

***

The following is a DFT calculation (PBE-GGA) of a geometry-optimized AcY2Ir structure.

a = 3.570 Å, b = 3.570 Å, c = 9.171 Å
α = 90.00°, β = 90.00°, γ = 90.00°
Atoms (fractional coordinates):
Y (0.000, 0.000, 0.175)
Y (0.000, 0.000, 0.825)
Ac (0.500, 0.500, 0.500)
Ir (0.500, 0.500, 0.000)

Output
- ΔE to the lowest computed polymorph: 98 meV per atom
- Energy of formation from the pure elements: -1.5 eV/f.u.
- Crystal system: tetragonal

***

The following is a DFT calculation (PBE-GGA) of a geometry-optimized Ac12YIr7 structure.

a = 9.587 Å, b = 9.587 Å, c = 9.587 Å
α = 107.39°, β = 107.39°, γ = 107.39°
Atoms (fractional coordinates):
Ir (0.116, 0.025, 0.343)
Ir (0.657, 0.884, 0.975)
Ir (0.884, 0.975, 0.657)
Ir (0.500, 0.500, 0.500)
Ir (0.975, 0.657, 0.884)
Ir (0.343, 0.116, 0.025)
Ir (0.025, 0.343, 0.116)
Ac (0.368, 0.446, 0.156)
Ac (0.315, 0.783, 0.925)
Ac (0.446, 0.156, 0.368)
Ac (0.925, 0.315, 0.783)
Ac (0.685, 0.217, 0.075)
Ac (0.844, 0.632, 0.554)
Ac (0.075, 0.685, 0.217)
Ac (0.554, 0.844, 0.632)
Ac (0.783, 0.925, 0.315)
Ac (0.156, 0.368, 0.446)
Ac (0.217, 0.075, 0.685)
Ac (0.632, 0.554, 0.844)
Y (0.000, 0.000, 0.000)

Output
- Energy of formation from the pure elements: -11.4 eV/f.u.
- Crystal system: trigonal

***

The following is a DFT calculation (PBE-GGA) of a geometry-optimized AcY2Ir structure.

a = 4.111 Å, b = 4.111 Å, c = 9.418 Å
α = 77.39°, β = 77.39°, γ = 60.00°
Atoms (fractional coordinates):
Ac (0.501, 0.501, 0.496)
Ir (0.666, 0.666, 0.001)
Y (0.052, 0.052, 0.845)
Y (0.281, 0.281, 0.158)

Output
- ΔE to the lowest computed polymorph: 88 meV per atom
- Energy of formation from the pure elements: -1.5 eV/f.u.
- Crystal system: trigonal

***

The following is a DFT calculation (PBE-GGA) of a geometry-optimized Ac2Y3Ir2 structure.

a = 3.962 Å, b = 6.650 Å, c = 8.759 Å
α = 73.32°, β = 76.93°, γ = 72.67°
Atoms (fractional coordinates):
Ac (0.166, 0.465, 0.203)
Ac (0.834, 0.535, 0.797)
Y (0.500, 0.000, 0.000)
Y (0.376, 0.823, 0.424)
Y (0.624, 0.177, 0.576)
Ir (0.171, 0.904, 0.755)
Ir (0.829, 0.096, 0.245)

Output
- Energy of formation from the pure elements: -3.9 eV/f.u.
- Crystal system: monoclinic

***

The following is a DFT calculation (PBE-GGA) of a geometry-optimized AcYIr4 structure.

a = 5.474 Å, b = 5.474 Å, c = 5.474 Å
α = 60.00°, β = 60.00°, γ = 60.00°
Atoms (fractional coordinates):
Ir (0.626, 0.626, 0.626)
Ir (0.123, 0.626, 0.626)
Ir (0.626, 0.626, 0.123)
Ir (0.626, 0.123, 0.626)
Ac (0.250, 0.250, 0.250)
Y (0.000, 0.000, 0.000)

Output
- Energy of formation from the pure elements: -3.8 eV/f.u.
- Crystal system: cubic

***

The following is a DFT calculation (PBE-GGA) of a geometry-optimized Ac5YIr4 structure.

a = 7.324 Å, b = 10.097 Å, c = 9.055 Å
α = 90.00°, β = 90.00°, γ = 90.00°
Atoms (fractional coordinates):
Ac (0.204, 0.000, 0.500)
Ac (0.744, 0.805, 0.744)
Ac (0.256, 0.695, 0.756)
Ac (0.256, 0.305, 0.244)
Ac (0.256, 0.305, 0.756)
Ac (0.796, 0.500, 0.000)
Ac (0.744, 0.805, 0.256)
Ac (0.256, 0.695, 0.244)
Ac (0.744, 0.195, 0.744)
Ac (0.744, 0.195, 0.256)
Y (0.186, 0.000, 0.000)
Y (0.814, 0.500, 0.500)
Ir (0.570, 0.500, 0.737)
Ir (0.430, 0.000, 0.237)
Ir (0.430, 0.000, 0.763)
Ir (0.997, 0.245, 0.000)
Ir (0.570, 0.500, 0.263)
Ir (0.003, 0.255, 0.500)
Ir (0.997, 0.755, 0.000)
Ir (0.003, 0.745, 0.500)

Output
- ΔE to the lowest computed polymorph: 84 meV per atom
- Energy of formation from the pure elements: -4.8 eV/f.u.
- Crystal system: orthorhombic

***

The following is a DFT calculation (PBE-GGA) of a geometry-optimized AcY2Ir structure.

a = 3.982 Å, b = 6.661 Å, c = 9.431 Å
α = 90.00°, β = 90.00°, γ = 107.34°
Atoms (fractional coordinates):
Y (0.149, 0.298, 0.431)
Y (0.851, 0.702, 0.931)
Y (0.149, 0.298, 0.069)
Y (0.851, 0.702, 0.569)
Ac (0.428, 0.856, 0.250)
Ac (0.572, 0.144, 0.750)
Ir (0.254, 0.509, 0.750)
Ir (0.746, 0.491, 0.250)

Output
- ΔE to the lowest computed polymorph: 0 meV per atom
- Energy of formation from the pure elements: -1.9 eV/f.u.
- Crystal system: orthorhombic

***

The following is a DFT calculation (PBE-GGA) of a geometry-optimized Ac2YIr structure.

a = 4.094 Å, b = 4.094 Å, c = 11.232 Å
α = 79.50°, β = 79.50°, γ = 60.00°
Site moments in Bohr magnetons follow the coordinates.
Atoms (fractional coordinates):
Y (0.000, 0.000, 0.000)  0.24
Ir (0.500, 0.500, 0.500)  0.01
Ac (0.886, 0.886, 0.342)  0.02
Ac (0.114, 0.114, 0.658)  0.02

Output
- Energy of formation from the pure elements: -0.2 eV/f.u.
- Crystal system: trigonal

***

The following is a DFT calculation (PBE-GGA) of a geometry-optimized Ac3YIr structure.

a = 5.878 Å, b = 5.878 Å, c = 5.878 Å
α = 90.00°, β = 90.00°, γ = 90.00°
Atoms (fractional coordinates):
Ac (0.000, 0.000, 0.500)
Ac (0.500, 0.000, 0.000)
Ac (0.000, 0.500, 0.000)
Y (0.500, 0.500, 0.500)
Ir (0.000, 0.000, 0.000)

Output
- Energy of formation from the pure elements: -0.9 eV/f.u.
- Crystal system: cubic

***

The following is a DFT calculation (PBE-GGA) of a geometry-optimized Ac4YIr3 structure.

a = 7.497 Å, b = 8.013 Å, c = 10.997 Å
α = 110.54°, β = 90.00°, γ = 117.89°
Atoms (fractional coordinates):
Ir (0.920, 0.817, 0.300)
Ir (0.896, 0.817, 0.800)
Ir (0.305, 0.610, 0.093)
Ir (0.305, 0.610, 0.593)
Ir (0.687, 0.369, 0.867)
Ir (0.682, 0.369, 0.367)
Ac (0.128, 0.601, 0.840)
Ac (0.536, 0.404, 0.625)
Ac (0.929, 0.206, 0.439)
Ac (0.868, 0.404, 0.125)
Ac (0.276, 0.206, 0.939)
Ac (0.473, 0.601, 0.340)
Ac (0.056, 0.788, 0.545)
Ac (0.732, 0.788, 0.045)
Y (0.667, 0.985, 0.740)
Y (0.318, 0.985, 0.240)

Output
- Energy of formation from the pure elements: -4.8 eV/f.u.
- Crystal system: monoclinic

***

The following is a DFT calculation (PBE-GGA) of a geometry-optimized Ac5YIr4 structure.

a = 4.341 Å, b = 8.336 Å, c = 9.526 Å
α = 104.66°, β = 103.17°, γ = 90.00°
Atoms (fractional coordinates):
Ac (0.840, 0.671, 0.679)
Ac (0.160, 0.329, 0.321)
Ac (0.834, 0.145, 0.668)
Ac (0.166, 0.855, 0.332)
Ac (0.500, 0.500, 0.000)
Ir (0.669, 0.104, 0.337)
Ir (0.998, 0.245, 0.997)
Ir (0.002, 0.755, 0.003)
Ir (0.331, 0.896, 0.663)
Y (0.500, 0.000, 0.000)

Output
- ΔE to the lowest computed polymorph: 0 meV per atom
- Energy of formation from the pure elements: -5.7 eV/f.u.
- Crystal system: monoclinic

***

The calculation returns the following size of the total moment values, one per record and in order: 0.000, 0.000, 0.000, 0.000, 0.000, 0.000, 0.000, 0.001, 0.787, 0.000, 0.000, 0.000 μB/cell.